Below is a relaxed structure of Li2ClF, with properties calculated at the PBE level.

Lattice parameters (Å, degrees): 5.8923 5.8923 5.8923 90.00 90.00 90.00
Last column: nearest neighbours and their distance in Å.
Space group Fm-3m (No. 225)
Asymmetric unit:
Li (0.2500, 0.2500, 0.2500) x8  4 F 2.55, 4 Cl 2.55
Cl (0.0000, 0.0000, 0.0000) x4  8 Li 2.55
F (0.0000, 0.0000, 0.5000) x4  8 Li 2.55

Values from the calculation:
Uncorrected formation energy: -8.0 eV per formula unit
Magnetic moment: 0.00 μB/f.u.
Energy above the most stable polymorph in this dataset: 350 meV per atom